(1)
Compound: BTeCl2
Source: the Alexandria database
Functional: GGA-PBEsol
Structure: optimized geometry

The structure in CIF format:
```
data_BTeCl2
_cell_length_a 6.3744
_cell_length_b 6.3744
_cell_length_c 6.3744
_cell_angle_alpha 60.00
_cell_angle_beta 60.00
_cell_angle_gamma 60.00
_space_group_name_H-M_alt 'P 1'
_space_group_IT_number 1
loop_
_space_group_symop_operation_xyz
'x,y,z'
loop_
_atom_site_label
_atom_site_type_symbol
_atom_site_fract_x
_atom_site_fract_y
_atom_site_fract_z
Cl1 Cl 0.1250 0.6250 0.6250
Te1 Te 0.2500 0.2500 0.2500
Cl2 Cl 0.6250 0.6250 0.6250
Te2 Te 0.0000 0.0000 0.0000
Cl3 Cl 0.6250 0.1250 0.6250
B1 B 0.5000 0.5000 0.5000
Cl4 Cl 0.6250 0.6250 0.1250
B2 B 0.7500 0.7500 0.7500
```

Calculated values
**SG**: Fd-3m
**Electronic total energy**: -3.13 eV/atom
**Formation energy (no corrections)**: 0.514 eV/atom
**Volume**: 183 Å³/cell

(2)
Compound: Ba3PdF
Source: the Alexandria database
Functional: GGA-PBEsol
Structure: optimized geometry

The structure in CIF format:
```
data_Ba3PdF
_cell_length_a 6.1113
_cell_length_b 6.1113
_cell_length_c 6.1113
_cell_angle_alpha 90.00
_cell_angle_beta 90.00
_cell_angle_gamma 90.00
_space_group_name_H-M_alt 'P 1'
_space_group_IT_number 1
loop_
_space_group_symop_operation_xyz
'x,y,z'
loop_
_atom_site_label
_atom_site_type_symbol
_atom_site_fract_x
_atom_site_fract_y
_atom_site_fract_z
F1 F 0.5000 0.5000 0.5000
Ba1 Ba 0.0000 0.0000 0.5000
Ba2 Ba 0.5000 0.0000 0.0000
Ba3 Ba 0.0000 0.5000 0.0000
Pd1 Pd 0.0000 0.0000 0.0000
```

Calculated values
**SG**: Pm-3m
**Electronic total energy**: -3.48 eV/atom
**Formation energy (no corrections)**: -0.612 eV/atom
**Volume**: 228 Å³/cell